Ac4Ge2PS: relaxed, GGA-PBE. Values from VASP.

Quantum ESPRESSO input file:
```
&SYSTEM
  ibrav = 0, nat = 8, ntyp = 4
/
ATOMIC_SPECIES
Ac 227.00 Ac.upf
Ge 72.64 Ge.upf
P 30.97 P.upf
S 32.06 S.upf
CELL_PARAMETERS angstrom
7.7274 0.0000 0.0000
0.0000 4.4539 0.0000
-2.5742 0.0000 7.5022
ATOMIC_POSITIONS crystal
Ac 0.2438 0.0000 0.2405
Ac 0.2489 0.5000 0.7556
Ac 0.7511 0.5000 0.2444
Ac 0.7562 0.0000 0.7595
Ge 0.0000 0.0000 0.5000
Ge 0.5000 0.5000 0.5000
P 0.0000 0.5000 0.0000
S 0.5000 0.0000 0.0000
```

Output
energy relative to the elements, uncorrected: -917 kJ/mol of formula units
DOS at the Fermi energy: 5.709 states/eV per cell
DFT total energy: -5.5890 eV per atom



Ac6Ge2P3S: relaxed, GGA-PBE. Values from VASP.

Quantum ESPRESSO input file:
```
&SYSTEM
  ibrav = 0, nat = 12, ntyp = 4
/
ATOMIC_SPECIES
Ac 227.00 Ac.upf
Ge 72.64 Ge.upf
P 30.97 P.upf
S 32.06 S.upf
CELL_PARAMETERS angstrom
9.7997 -2.2106 0.0000
9.7997 2.2106 0.0000
-2.1226 0.0000 8.8103
ATOMIC_POSITIONS crystal
Ac 0.0012 0.0012 0.2461
Ac 0.3330 0.3330 0.4238
Ac 0.3354 0.3354 0.9101
Ac 0.6646 0.6646 0.0899
Ac 0.6670 0.6670 0.5762
Ac 0.9988 0.9988 0.7539
Ge 0.1654 0.1654 0.8298
Ge 0.8346 0.8346 0.1702
P 0.1644 0.1644 0.3351
P 0.5000 0.5000 0.0000
P 0.8356 0.8356 0.6649
S 0.5000 0.5000 0.5000
```

Output
energy relative to the elements, uncorrected: -1484 kJ/mol of formula units
DOS at the Fermi energy: 7.232 states/eV per cell
DFT total energy: -5.8016 eV per atom



Ac4GePS2: relaxed, GGA-PBE. Values from VASP.

Quantum ESPRESSO input file:
```
&SYSTEM
  ibrav = 0, nat = 16, ntyp = 4
/
ATOMIC_SPECIES
Ac 227.00 Ac.upf
Ge 72.64 Ge.upf
P 30.97 P.upf
S 32.06 S.upf
CELL_PARAMETERS angstrom
-4.4190 4.4559 6.2751
4.4190 -4.4559 6.2751
4.4190 4.4559 -6.2751
ATOMIC_POSITIONS crystal
Ac 0.2519 0.2507 0.4988
Ac 0.2519 0.7531 0.0012
Ac 0.2536 0.2488 0.0048
Ac 0.2559 0.7512 0.5048
Ac 0.7441 0.2488 0.4952
Ac 0.7464 0.7512 0.9952
Ac 0.7481 0.2469 0.9988
Ac 0.7481 0.7493 0.5012
Ge 0.0000 0.0000 0.0000
Ge 0.5000 0.0000 0.5000
P 0.5000 0.0000 0.0000
P 0.5000 0.5000 0.5000
S 0.0000 0.0000 0.5000
S 0.0000 0.5000 0.0000
S 0.0000 0.5000 0.5000
S 0.5000 0.5000 0.0000
```

Output
energy relative to the elements, uncorrected: -1236 kJ/mol of formula units
DOS at the Fermi energy: 4.638 states/eV per cell
DFT total energy: -5.9411 eV per atom